Entry from Alexandria: a relaxed structure of HfGa2Cu2 (PBE).

Cell and atoms, written as extended XYZ:
```
10
Lattice="7.3600 0.0000 0.0000 0.0000 7.3600 0.0000 0.0000 0.0000 2.8272" Properties=species:S:1:pos:R:3 pbc="T T T"
Hf 0.0000 0.0000 0.0000
Hf 3.6800 3.6800 0.0000
Ga 1.2914 2.3886 1.4136
Ga 2.3886 6.0686 1.4136
Ga 4.9714 1.2914 1.4136
Ga 6.0686 4.9714 1.4136
Cu 0.8919 4.5719 0.0000
Cu 2.7881 0.8919 0.0000
Cu 4.5719 6.4681 0.0000
Cu 6.4681 2.7881 0.0000
```

Computed properties:
DFT formation energy: -0.136 eV per atom
Theoretical density: 9.650 g cm⁻³
Space group: P4/mbm
Total magnetization: 0.00 μB/cell



Entry from Alexandria: a relaxed structure of Pr9Sm2Sc (PBE).

Cell and atoms, written as extended XYZ:
```
12
Lattice="5.1770 0.0000 0.0000 0.0000 5.1770 0.0000 0.0000 0.0000 15.5424" Properties=species:S:1:pos:R:3 pbc="T T T"
Pr 0.0000 0.0000 0.0000
Pr 0.0000 0.0000 5.1400
Pr 0.0000 0.0000 10.4024
Pr 0.0000 2.5885 2.5098
Pr 0.0000 2.5885 7.7712
Pr 0.0000 2.5885 13.0325
Pr 2.5885 0.0000 2.5098
Pr 2.5885 0.0000 7.7712
Pr 2.5885 0.0000 13.0325
Sm 2.5885 2.5885 5.1345
Sm 2.5885 2.5885 10.4079
Sc 2.5885 2.5885 0.0000
```

Computed properties:
DFT formation energy: 0.025 eV per atom
Theoretical density: 6.433 g cm⁻³
Space group: P4/mmm
Total magnetization: 0.00 μB/cell



Entry from Alexandria: a relaxed structure of SmCr2Si2 (PBE).

Cell and atoms, written as extended XYZ:
```
5
Lattice="-1.9469 1.9469 5.3932 1.9469 -1.9469 5.3932 1.9469 1.9469 -5.3932" Properties=species:S:1:pos:R:3 pbc="T T T"
Sm 0.0000 0.0000 0.0000
Cr 1.9469 0.0000 2.6966
Cr 0.0000 1.9469 2.6966
Si 0.0000 0.0000 4.1217
Si 0.0000 0.0000 6.6648
```

Computed properties:
Theoretical density: 6.306 g cm⁻³
Space group: I4/mmm
Total magnetization: 1.18 μB/cell
Uncorrected energy: -7.36 eV per atom